# 1
Computed, not measured: a geometry-optimized Y2Te structure at the PBE-GGA level of DFT.

```
Y2Te
1.0
-2.384 4.440 -6.497
-0.882 -2.659 7.731
2.985 4.229 1.795
Te Y
2 4
direct
0.086 0.914 0.250 Te
0.914 0.086 0.750 Te
0.256 0.744 0.750 Y
0.426 0.574 0.250 Y
0.744 0.256 0.250 Y
0.574 0.426 0.750 Y
```

# 2
Computed, not measured: a geometry-optimized Y5Te structure at the PBE-GGA level of DFT.

Summary:
E above lowest polymorph, eV/atom: 0.511

```
Y5Te
1.0
0.000 4.625 4.625
4.625 0.000 4.625
4.625 4.625 0.000
Y Te
5 1
direct
0.623 0.623 0.623 Y
0.250 0.250 0.250 Y
0.130 0.623 0.623 Y
0.623 0.623 0.130 Y
0.623 0.130 0.623 Y
0.000 0.000 0.000 Te
```

# 3
Computed, not measured: a geometry-optimized Y3Te structure at the PBE-GGA level of DFT.

Summary:
E above lowest polymorph, eV/atom: 0.139

```
Y3Te
1.0
10.190 -0.009 -0.005
9.459 3.791 -0.005
9.459 1.821 3.325
Y Te
3 1
direct
0.738 0.738 0.738 Y
0.500 0.500 0.500 Y
0.262 0.262 0.262 Y
0.000 0.000 0.000 Te
```

Number 1: ΔE_f (raw) -0.7305 eV per atom. Number 2: ΔE_f (raw) 0.1460 eV per atom. Number 3: ΔE_f (raw) -0.5473 eV per atom.